! MnFe2Hg (SCAN, single point on PBEsol structure); values from VASP
! E_form   0.1689 eV per atom
! Space-group type   F-43m (216)
&SYSTEM
  ibrav = 0, nat = 4, ntyp = 3
/
ATOMIC_SPECIES
Fe 55.84 Fe.upf
Mn 54.94 Mn.upf
Hg 200.59 Hg.upf
ATOMIC_POSITIONS angstrom
Fe 3.612 -6.548 2.336
Fe 0.000 0.000 0.000
Mn 1.204 -2.183 0.779
Hg 2.408 -4.366 1.558
CELL_PARAMETERS angstrom
-0.473 -3.671 2.118
2.059 -3.498 -1.309
3.229 -1.562 2.306



! Ir3Os (SCAN, single point on PBEsol structure); values from VASP
! E_form   0.0772 eV per atom
! Space-group type   Imm2 (44)
&SYSTEM
  ibrav = 0, nat = 4, ntyp = 2
/
ATOMIC_SPECIES
Os 190.23 Os.upf
Ir 192.22 Ir.upf
ATOMIC_POSITIONS angstrom
Os 0.000 3.139 0.000
Ir 1.362 0.778 0.000
Ir 1.362 2.362 2.172
Ir 0.000 0.006 2.206
CELL_PARAMETERS angstrom
2.724 0.000 0.000
0.000 4.714 0.000
-1.362 -2.357 4.378



! Al2SbBr (SCAN, single point on PBEsol structure); values from VASP
! Polymorph energy (0 for the lowest one)   287.6 meV/atom
! E_form (uncorrected)   289.9 meV/atom
! Space-group type   Pmmm (47)
&SYSTEM
  ibrav = 0, nat = 4, ntyp = 3
/
ATOMIC_SPECIES
Al 26.98 Al.upf
Br 79.90 Br.upf
Sb 121.76 Sb.upf
ATOMIC_POSITIONS angstrom
Al 0.000 0.000 0.000
Al 1.617 2.607 0.000
Br 1.617 0.000 2.601
Sb 0.000 2.607 2.601
CELL_PARAMETERS angstrom
3.234 0.000 0.000
0.000 5.215 0.000
0.000 0.000 5.202